1.
## RbTlTe2 (PBE)

Data for a relaxed structure of RbTlTe2.

Lattice parameters (Å, degrees): 9.082 9.082 17.325 84.64 84.64 89.88
Sites, in units of the cell vectors:
Te  0.869  0.652  0.554
Te  0.131  0.348  0.446
Te  0.359  0.639  0.554
Te  0.933  0.067  0.250
Te  0.361  0.641  0.946
Te  0.406  0.056  0.268
Te  0.348  0.131  0.946
Te  0.652  0.869  0.054
Te  0.639  0.359  0.054
Te  0.944  0.594  0.232
Te  0.599  0.401  0.750
Te  0.401  0.599  0.250
Te  0.594  0.944  0.732
Te  0.067  0.933  0.750
Te  0.056  0.406  0.768
Te  0.641  0.361  0.446
Tl  0.406  0.320  0.348
Tl  0.680  0.594  0.152
Tl  0.323  0.903  0.840
Tl  0.320  0.406  0.848
Tl  0.097  0.677  0.660
Tl  0.594  0.680  0.652
Tl  0.677  0.097  0.160
Tl  0.903  0.323  0.340
Rb  0.141  0.783  0.389
Rb  0.217  0.859  0.111
Rb  0.859  0.217  0.611
Rb  0.221  0.346  0.126
Rb  0.779  0.654  0.874
Rb  0.346  0.221  0.626
Rb  0.654  0.779  0.374
Rb  0.783  0.141  0.889

For the formation energy (no corrections), the calculation gives -12.03 kcal/mol of atoms. Its space-group type is C2/c. The calculation puts the total energy at -0.2151 Ry per atom.

2.
## RbTlTe3 (PBE)

Data for a relaxed structure of RbTlTe3.

Lattice parameters (Å, degrees): 6.311 6.311 6.311 90.00 90.00 90.00
Sites, in units of the cell vectors:
Te  0.000  0.500  0.000
Te  0.000  0.000  0.500
Te  0.500  0.000  0.000
Rb  0.000  0.000  0.000
Tl  0.500  0.500  0.500

For the formation energy (no corrections), the calculation gives 13.25 kcal/mol of atoms. The calculation puts the density of states at the Fermi level at 14.02 states/eV/f.u. Its space-group type is Pm-3m. The calculation puts the total energy at -0.1453 Ry per atom.

3.
## RbTlTe3 (PBE)

Data for a relaxed structure of RbTlTe3.

Lattice parameters (Å, degrees): 5.332 5.179 15.362 94.01 90.00 90.00
Sites, in units of the cell vectors:
Te  0.250  0.491  0.961
Te  0.750  0.509  0.039
Te  0.750  0.310  0.331
Te  0.250  0.690  0.669
Te  0.250  0.551  0.327
Te  0.750  0.449  0.673
Rb  0.250  0.026  0.143
Rb  0.750  0.974  0.857
Tl  0.750  0.770  0.487
Tl  0.250  0.230  0.513

For the formation energy (no corrections), the calculation gives -9.58 kcal/mol of atoms. The calculation puts the density of states at the Fermi level at 0.87 states/eV/f.u. Its space-group type is P2_1/m. The calculation puts the total energy at -0.2181 Ry per atom.

Question: Among the records above, which one has the lowest formation energy (no corrections)?
Answer: RbTlTe2

Question: Which formula does entry 2 have?
Answer: RbTlTe3